Record 1
{
  "formula": "DyY2Sn3Pt3",
  "functional": "PBE",
  "state": "optimized geometry",
  "lattice_angstrom": [[-2.389, 3.241, -0.136], [-0.668, -0.178, 7.483], [5.544, 3.953, -3.180]],
  "species": ["Dy", "Pt", "Pt", "Pt", "Sn", "Sn", "Sn", "Y", "Y"],
  "frac_coords": [[0.000, 0.406, 0.406], [0.000, 0.001, 0.001], [0.500, 0.665, 0.333], [0.500, 0.333, 0.665], [0.500, 0.000, 0.259], [0.500, 0.742, 0.742], [0.500, 0.259, 0.000], [0.000, 0.594, 0.000], [0.000, 0.000, 0.594]],
  "vol_a3_per_cell": 197,
  "e_tot_ev_per_atom": -6.40,
  "spacegroup": "Amm2"
}

=====

Record 2
{
  "formula": "Dy2ZnSnPt4",
  "functional": "PBE",
  "state": "optimized geometry",
  "lattice_angstrom": [[-2.261, 3.851, 1.643], [-1.212, -2.389, 3.932], [5.663, 2.049, 2.990]],
  "species": ["Dy", "Dy", "Pt", "Pt", "Pt", "Pt", "Sn", "Zn"],
  "frac_coords": [[0.500, 0.500, 0.000], [0.000, 0.000, 0.500], [0.500, 0.000, 0.259], [0.000, 0.500, 0.259], [0.500, 0.000, 0.741], [0.000, 0.500, 0.741], [0.000, 0.000, 0.000], [0.500, 0.500, 0.500]],
  "vol_a3_per_cell": 152,
  "e_tot_ev_per_atom": -5.71,
  "spacegroup": "P4/mmm"
}

=====

Record 3
{
  "formula": "DyZn2SnPt4",
  "functional": "PBE",
  "state": "optimized geometry",
  "lattice_angstrom": [[4.596, 0.000, 0.000], [0.000, 4.596, 0.000], [0.000, 0.000, 6.607]],
  "species": ["Dy", "Pt", "Pt", "Pt", "Pt", "Sn", "Zn", "Zn"],
  "frac_coords": [[0.500, 0.500, 0.000], [0.500, 0.000, 0.267], [0.000, 0.500, 0.267], [0.500, 0.000, 0.733], [0.000, 0.500, 0.733], [0.000, 0.000, 0.500], [0.000, 0.000, 0.000], [0.500, 0.500, 0.500]],
  "vol_a3_per_cell": 140,
  "e_tot_ev_per_atom": -5.05,
  "spacegroup": "P4/mmm"
}

=====

Record 4
{
  "formula": "DyTaPt",
  "functional": "PBE",
  "state": "optimized geometry",
  "lattice_angstrom": [[0.000, 3.263, 3.263], [3.263, 0.000, 3.263], [3.263, 3.263, 0.000]],
  "species": ["Dy", "Pt", "Ta"],
  "frac_coords": [[0.250, 0.250, 0.250], [0.000, 0.000, 0.000], [0.750, 0.750, 0.750]],
  "de_polymorph_mev_per_atom": 0,
  "ef_ev_per_atom": -0.138,
  "vol_a3_per_cell": 70,
  "spacegroup": "F-43m"
}

=====

Record 5
{
  "formula": "DyTaPt",
  "functional": "PBE",
  "state": "optimized geometry",
  "lattice_angstrom": [[0.000, 3.261, 3.261], [3.261, 0.000, 3.261], [3.261, 3.261, 0.000]],
  "species": ["Dy", "Pt", "Ta"],
  "frac_coords": [[0.000, 0.000, 0.000], [0.250, 0.250, 0.250], [0.750, 0.750, 0.750]],
  "de_polymorph_mev_per_atom": 980,
  "ef_ev_per_atom": 0.842,
  "vol_a3_per_cell": 69,
  "spacegroup": "F-43m"
}

=====

Record 6
{
  "formula": "TbDyPt2",
  "functional": "PBE",
  "state": "optimized geometry",
  "lattice_angstrom": [[4.512, 0.000, 0.000], [0.000, 7.043, 0.000], [0.000, 0.000, 5.578]],
  "species": ["Dy", "Dy", "Pt", "Pt", "Pt", "Pt", "Tb", "Tb"],
  "frac_coords": [[0.000, 0.068, 0.140], [0.500, 0.932, 0.640], [0.500, 0.796, 0.155], [0.500, 0.293, 0.345], [0.000, 0.204, 0.655], [0.000, 0.707, 0.845], [0.000, 0.568, 0.360], [0.500, 0.432, 0.860]],
  "ef_ev_per_atom": -1.280,
  "vol_a3_per_cell": 177,
  "spacegroup": "Pmn2_1"
}

=====

Record 7
{
  "formula": "Tb3DyPt4",
  "functional": "PBE",
  "state": "optimized geometry",
  "lattice_angstrom": [[-5.452, -1.088, -0.499], [0.967, -4.109, -1.603], [-0.075, -2.579, 6.567]],
  "species": ["Dy", "Pt", "Pt", "Pt", "Pt", "Tb", "Tb", "Tb"],
  "frac_coords": [[0.860, 0.000, 0.682], [0.154, 0.000, 0.044], [0.655, 0.500, 0.456], [0.345, 0.000, 0.545], [0.845, 0.500, 0.954], [0.640, 0.000, 0.182], [0.140, 0.500, 0.318], [0.360, 0.500, 0.818]],
  "ef_ev_per_atom": -1.276,
  "vol_a3_per_cell": 178,
  "spacegroup": "Pm"
}

=====

Record 8
{
  "formula": "TbDyPt2",
  "functional": "PBE",
  "state": "optimized geometry",
  "lattice_angstrom": [[-1.200, 4.348, -0.089], [-4.443, -1.290, -3.120], [-3.826, -0.937, 5.836]],
  "species": ["Dy", "Dy", "Pt", "Pt", "Pt", "Pt", "Tb", "Tb"],
  "frac_coords": [[0.500, 0.610, 0.182], [0.500, 0.390, 0.682], [0.500, 0.095, 0.045], [0.000, 0.595, 0.455], [0.500, 0.905, 0.545], [0.000, 0.405, 0.955], [0.000, 0.110, 0.318], [0.000, 0.890, 0.818]],
  "ef_ev_per_atom": -1.280,
  "vol_a3_per_cell": 177,
  "spacegroup": "Pmc2_1"
}